(1)
VASP calculation (GGA-PBE) on crystalline Ba2MoRu at its relaxed geometry.

The structure in CIF format:
```
data_Ba2MoRu
_cell_length_a 3.6065
_cell_length_b 3.4897
_cell_length_c 11.1840
_cell_angle_alpha 62.27
_cell_angle_beta 90.00
_cell_angle_gamma 90.00
_space_group_name_H-M_alt 'P 1'
_space_group_IT_number 1
_space_group_name_Hall 'P 1'
loop_
_atom_site_label
_atom_site_type_symbol
_atom_site_fract_x
_atom_site_fract_y
_atom_site_fract_z
_atom_site_occupancy
Ba1 Ba 0.0000 0.9329 0.9227 1
Ba2 Ba 0.5000 0.3225 0.3253 1
Mo1 Mo 0.0000 0.4085 0.6018 1
Ru1 Ru 0.5000 0.8361 0.6502 1
```

Energy of formation = 0.530 eV/atom
Total moment = 0.00 μB/f.u.
Volume = 31.15 A^3/atom
Total energy = -5.46 eV/atom

(2)
VASP calculation (GGA-PBE) on crystalline Ba2MoRu at its relaxed geometry.

The structure in CIF format:
```
data_Ba2MoRu
_cell_length_a 5.4659
_cell_length_b 5.4659
_cell_length_c 5.4659
_cell_angle_alpha 60.00
_cell_angle_beta 60.00
_cell_angle_gamma 60.00
_space_group_name_H-M_alt 'P 1'
_space_group_IT_number 1
_space_group_name_Hall 'P 1'
loop_
_atom_site_label
_atom_site_type_symbol
_atom_site_fract_x
_atom_site_fract_y
_atom_site_fract_z
_atom_site_occupancy
Ru1 Ru 0.5000 0.5000 0.5000 1
Mo1 Mo 0.0000 0.0000 0.0000 1
Ba1 Ba 0.2500 0.2500 0.2500 1
Ba2 Ba 0.7500 0.7500 0.7500 1
```

Energy of formation = 1.297 eV/atom
Total moment = 4.16 μB/f.u.
Volume = 28.87 A^3/atom
Total energy = -4.69 eV/atom

(3)
VASP calculation (GGA-PBE) on crystalline BaMoRu4 at its relaxed geometry.

The structure in CIF format:
```
data_BaMoRu4
_cell_length_a 5.3242
_cell_length_b 5.3242
_cell_length_c 5.3242
_cell_angle_alpha 60.00
_cell_angle_beta 60.00
_cell_angle_gamma 60.00
_space_group_name_H-M_alt 'P 1'
_space_group_IT_number 1
_space_group_name_Hall 'P 1'
loop_
_atom_site_label
_atom_site_type_symbol
_atom_site_fract_x
_atom_site_fract_y
_atom_site_fract_z
_atom_site_occupancy
Ba1 Ba 0.7500 0.7500 0.7500 1
Mo1 Mo 0.0000 0.0000 0.0000 1
Ru1 Ru 0.8782 0.3739 0.3739 1
Ru2 Ru 0.3739 0.3739 0.8782 1
Ru3 Ru 0.3739 0.8782 0.3739 1
Ru4 Ru 0.3739 0.3739 0.3739 1
```

Energy of formation = 0.801 eV/atom
Total moment = 0.00 μB/f.u.
Volume = 17.79 A^3/atom
Total energy = -7.51 eV/atom

(4)
VASP calculation (GGA-PBE) on crystalline Ba2MoRu at its relaxed geometry.

The structure in CIF format:
```
data_Ba2MoRu
_cell_length_a 5.3238
_cell_length_b 5.3238
_cell_length_c 6.2266
_cell_angle_alpha 92.69
_cell_angle_beta 92.69
_cell_angle_gamma 35.15
_space_group_name_H-M_alt 'P 1'
_space_group_IT_number 1
_space_group_name_Hall 'P 1'
loop_
_atom_site_label
_atom_site_type_symbol
_atom_site_fract_x
_atom_site_fract_y
_atom_site_fract_z
_atom_site_occupancy
Ba1 Ba 0.9952 0.9952 0.9934 1
Ba2 Ba 0.5048 0.5048 0.5066 1
Mo1 Mo 0.2500 0.2500 0.2500 1
Ru1 Ru 0.7500 0.7500 0.7500 1
```

Energy of formation = 1.437 eV/atom
Total moment = 0.55 μB/f.u.
Volume = 25.37 A^3/atom
Total energy = -4.55 eV/atom

(5)
VASP calculation (GGA-PBE) on crystalline BaMoRu at its relaxed geometry.

The structure in CIF format:
```
data_BaMoRu
_cell_length_a 4.6745
_cell_length_b 4.6745
_cell_length_c 4.6745
_cell_angle_alpha 60.00
_cell_angle_beta 60.00
_cell_angle_gamma 60.00
_space_group_name_H-M_alt 'P 1'
_space_group_IT_number 1
_space_group_name_Hall 'P 1'
loop_
_atom_site_label
_atom_site_type_symbol
_atom_site_fract_x
_atom_site_fract_y
_atom_site_fract_z
_atom_site_occupancy
Ba1 Ba 0.7500 0.7500 0.7500 1
Mo1 Mo 0.0000 0.0000 0.0000 1
Ru1 Ru 0.5000 0.5000 0.5000 1
```

Energy of formation = 2.280 eV/atom
Total moment = 1.90 μB/f.u.
Volume = 24.08 A^3/atom
Total energy = -5.06 eV/atom

(6)
VASP calculation (GGA-PBE) on crystalline BaMoRu2 at its relaxed geometry.

The structure in CIF format:
```
data_BaMoRu2
_cell_length_a 4.3356
_cell_length_b 4.3356
_cell_length_c 6.5167
_cell_angle_alpha 70.51
_cell_angle_beta 70.51
_cell_angle_gamma 60.00
_space_group_name_H-M_alt 'P 1'
_space_group_IT_number 1
_space_group_name_Hall 'P 1'
loop_
_atom_site_label
_atom_site_type_symbol
_atom_site_fract_x
_atom_site_fract_y
_atom_site_fract_z
_atom_site_occupancy
Ba1 Ba 0.7500 0.7500 0.7500 1
Mo1 Mo 0.2500 0.2500 0.2500 1
Ru1 Ru 0.9443 0.9443 0.1674 1
Ru2 Ru 0.5557 0.5557 0.3326 1
```

Energy of formation = 0.422 eV/atom
Total moment = 0.00 μB/f.u.
Volume = 24.47 A^3/atom
Total energy = -7.40 eV/atom

(7)
VASP calculation (GGA-PBE) on crystalline BaMoRu at its relaxed geometry.

The structure in CIF format:
```
data_BaMoRu
_cell_length_a 4.1506
_cell_length_b 4.1506
_cell_length_c 5.4627
_cell_angle_alpha 90.00
_cell_angle_beta 90.00
_cell_angle_gamma 120.00
_space_group_name_H-M_alt 'P 1'
_space_group_IT_number 1
_space_group_name_Hall 'P 1'
loop_
_atom_site_label
_atom_site_type_symbol
_atom_site_fract_x
_atom_site_fract_y
_atom_site_fract_z
_atom_site_occupancy
Ba1 Ba 0.0000 0.0000 0.0034 1
Mo1 Mo 0.3333 0.6667 0.5217 1
Ru1 Ru 0.6667 0.3333 0.4749 1
```

Energy of formation = 0.567 eV/atom
Total moment = 0.00 μB/f.u.
Volume = 27.17 A^3/atom
Total energy = -6.78 eV/atom

(8)
VASP calculation (GGA-PBE) on crystalline Ba2MoRu at its relaxed geometry.

The structure in CIF format:
```
data_Ba2MoRu
_cell_length_a 5.8113
_cell_length_b 5.8113
_cell_length_c 3.5529
_cell_angle_alpha 90.00
_cell_angle_beta 90.00
_cell_angle_gamma 115.64
_space_group_name_H-M_alt 'P 1'
_space_group_IT_number 1
_space_group_name_Hall 'P 1'
loop_
_atom_site_label
_atom_site_type_symbol
_atom_site_fract_x
_atom_site_fract_y
_atom_site_fract_z
_atom_site_occupancy
Ba1 Ba 0.0000 0.0000 0.0000 1
Ba2 Ba 0.5000 0.5000 0.0000 1
Mo1 Mo 0.5000 0.0000 0.5000 1
Ru1 Ru 0.0000 0.5000 0.5000 1
```

Energy of formation = 1.355 eV/atom
Total moment = 1.68 μB/f.u.
Volume = 27.04 A^3/atom
Total energy = -4.63 eV/atom

(9)
VASP calculation (GGA-PBE) on crystalline BaMo3Ru at its relaxed geometry.

The structure in CIF format:
```
data_BaMo3Ru
_cell_length_a 4.8556
_cell_length_b 4.8556
_cell_length_c 4.8556
_cell_angle_alpha 90.00
_cell_angle_beta 90.00
_cell_angle_gamma 90.00
_space_group_name_H-M_alt 'P 1'
_space_group_IT_number 1
_space_group_name_Hall 'P 1'
loop_
_atom_site_label
_atom_site_type_symbol
_atom_site_fract_x
_atom_site_fract_y
_atom_site_fract_z
_atom_site_occupancy
Ru1 Ru 0.5000 0.5000 0.5000 1
Mo1 Mo 0.0000 0.5000 0.0000 1
Mo2 Mo 0.0000 0.0000 0.5000 1
Mo3 Mo 0.5000 0.0000 0.0000 1
Ba1 Ba 0.0000 0.0000 0.0000 1
```

Energy of formation = 3.409 eV/atom
Total moment = 0.00 μB/f.u.
Volume = 22.90 A^3/atom
Total energy = -5.33 eV/atom

(10)
VASP calculation (GGA-PBE) on crystalline Ba2MoRu at its relaxed geometry.

The structure in CIF format:
```
data_Ba2MoRu
_cell_length_a 5.6554
_cell_length_b 5.6554
_cell_length_c 5.6554
_cell_angle_alpha 125.72
_cell_angle_beta 125.72
_cell_angle_gamma 80.36
_space_group_name_H-M_alt 'P 1'
_space_group_IT_number 1
_space_group_name_Hall 'P 1'
loop_
_atom_site_label
_atom_site_type_symbol
_atom_site_fract_x
_atom_site_fract_y
_atom_site_fract_z
_atom_site_occupancy
Ba1 Ba 0.0000 0.0000 0.0000 1
Ba2 Ba 0.5000 0.5000 0.0000 1
Mo1 Mo 0.2500 0.7500 0.5000 1
Ru1 Ru 0.7500 0.2500 0.5000 1
```

Energy of formation = 1.290 eV/atom
Total moment = 4.33 μB/f.u.
Volume = 28.76 A^3/atom
Total energy = -4.70 eV/atom

(11)
VASP calculation (GGA-PBE) on crystalline BaMoRu2 at its relaxed geometry.

The structure in CIF format:
```
data_BaMoRu2
_cell_length_a 5.0005
_cell_length_b 5.0005
_cell_length_c 3.0632
_cell_angle_alpha 90.00
_cell_angle_beta 90.00
_cell_angle_gamma 89.98
_space_group_name_H-M_alt 'P 1'
_space_group_IT_number 1
_space_group_name_Hall 'P 1'
loop_
_atom_site_label
_atom_site_type_symbol
_atom_site_fract_x
_atom_site_fract_y
_atom_site_fract_z
_atom_site_occupancy
Ba1 Ba 0.5000 0.0000 0.5000 1
Mo1 Mo 0.0000 0.5000 0.5000 1
Ru1 Ru 0.0000 0.0000 0.0000 1
Ru2 Ru 0.5000 0.5000 0.0000 1
```

Energy of formation = 1.151 eV/atom
Total moment = 0.00 μB/f.u.
Volume = 19.15 A^3/atom
Total energy = -6.68 eV/atom

(12)
VASP calculation (GGA-PBE) on crystalline Ba2MoRu at its relaxed geometry.

The structure in CIF format:
```
data_Ba2MoRu
_cell_length_a 5.2323
_cell_length_b 3.3525
_cell_length_c 6.5508
_cell_angle_alpha 64.51
_cell_angle_beta 90.00
_cell_angle_gamma 90.00
_space_group_name_H-M_alt 'P 1'
_space_group_IT_number 1
_space_group_name_Hall 'P 1'
loop_
_atom_site_label
_atom_site_type_symbol
_atom_site_fract_x
_atom_site_fract_y
_atom_site_fract_z
_atom_site_occupancy
Ba1 Ba 0.0000 0.9085 0.9953 1
Ba2 Ba 0.0000 0.5915 0.5047 1
Mo1 Mo 0.5000 0.2500 0.2500 1
Ru1 Ru 0.5000 0.7500 0.7500 1
```

Energy of formation = 1.356 eV/atom
Total moment = 0.00 μB/f.u.
Volume = 25.93 A^3/atom
Total energy = -4.63 eV/atom